Entry 1:
Compound: MnCoGeRu
Source: Alexandria
Functional: PBE
Structure: relaxed

a b c (Å): 4.1652 4.1652 4.1652
angles (deg): 60.00 60.00 60.00
Closest atoms and distances in Å follow each position.
Atoms (fractional coordinates):
Mn1 0.0000 0.0000 0.0000  4 Co 2.55, 4 Ru 2.55
Co1 0.2500 0.2500 0.2500  4 Ge 2.55, 4 Mn 2.55
Ge1 0.5000 0.5000 0.5000  4 Co 2.55, 4 Ru 2.55
Ru1 0.7500 0.7500 0.7500  4 Ge 2.55, 4 Mn 2.55

Properties
As for the energy: -0.5696 Ry/atom. As for the crystal system: cubic.

Entry 2:
Compound: Mn2CoGeS
Source: Alexandria
Functional: PBE
Structure: relaxed

a b c (Å): 5.0406 5.0406 4.2191
angles (deg): 90.00 90.00 90.00
Closest atoms and distances in Å follow each position.
Atoms (fractional coordinates):
Mn1 0.0000 0.5000 0.0000  2 Ge 2.52
Mn2 0.5000 0.0000 0.0000  2 Ge 2.52
Co1 0.0000 0.0000 0.5000  2 Ge 2.11
Ge1 0.0000 0.0000 0.0000  2 Co 2.11
S1 0.5000 0.5000 0.5000  8 Mn 3.29, 4 Co 3.56

Properties
The value obtained for the uncorrected formation energy is 0.861 eV per atom. As for the crystal system: tetragonal.

Entry 3:
Compound: Mn2CoGeSe
Source: Alexandria
Functional: PBE
Structure: relaxed

a b c (Å): 4.5329 4.5329 4.2945
angles (deg): 90.00 90.00 90.00
Closest atoms and distances in Å follow each position.
Atoms (fractional coordinates):
Mn1 0.0000 0.5000 0.0000  2 Se 2.27
Mn2 0.5000 0.0000 0.0000  2 Se 2.27
Co1 0.0000 0.0000 0.5000  2 Se 2.15
Ge1 0.5000 0.5000 0.5000  8 Mn 3.12, 4 Co 3.21
Se1 0.0000 0.0000 0.0000  2 Co 2.15, 4 Mn 2.27

Properties
The value obtained for the uncorrected formation energy is 0.572 eV per atom. As for the crystal system: tetragonal.

Entry 4:
Compound: MnCoTcGeSe
Source: Alexandria
Functional: PBE
Structure: relaxed

a b c (Å): 4.8703 4.8703 6.0769
angles (deg): 113.37 113.37 35.06
Closest atoms and distances in Å follow each position.
Atoms (fractional coordinates):
Mn1 0.0000 0.0000 0.0000  1 Co 2.58, 3 Ge 2.61-2.86, 3 Tc 2.67-2.88, 1 Se 2.71
Co1 0.8948 0.8948 0.5348  3 Se 2.45-2.71, 2 Ge 2.52, 1 Mn 2.58
Tc1 0.6596 0.6596 0.8098  2 Se 2.49, 2 Ge 2.58, 2 Mn 2.67, 2 Co 2.75
Ge1 0.3370 0.3370 0.1700  2 Co 2.52, 2 Tc 2.58, 2 Mn 2.61
Se1 0.1720 0.1720 0.4862  3 Co 2.45-2.71, 2 Tc 2.49, 1 Mn 2.71

Properties
The value obtained for the uncorrected formation energy is 0.156 eV per atom. As for the crystal system: monoclinic. Its excess energy over the best structure of this formula in the dataset is 0.64 eV/f.u.

Entry 5:
Compound: MnCoTcGeSe
Source: Alexandria
Functional: PBE
Structure: relaxed

a b c (Å): 4.3171 4.4369 4.5959
angles (deg): 74.15 74.65 65.52
Closest atoms and distances in Å follow each position.
Atoms (fractional coordinates):
Mn1 0.0000 0.0000 0.0000  1 Tc 2.36, 1 Se 2.44, 1 Ge 2.51
Co1 0.9572 0.3443 0.4092  2 Se 2.30-2.40, 2 Ge 2.38-2.51
Tc1 0.3382 0.3380 0.8240  1 Mn 2.36, 2 Se 2.44-2.57, 2 Ge 2.52-2.60
Ge1 0.8034 0.8290 0.6247  2 Co 2.38-2.51, 1 Mn 2.51, 2 Tc 2.52-2.60
Se1 0.4469 0.5114 0.2363  2 Co 2.30-2.40, 1 Mn 2.44, 2 Tc 2.44-2.57

Properties
The value obtained for the uncorrected formation energy is 0.123 eV per atom. As for the crystal system: triclinic. Its excess energy over the best structure of this formula in the dataset is 0.48 eV/f.u.

Entry 6:
Compound: MnCoTcGeSe
Source: Alexandria
Functional: PBE
Structure: relaxed

a b c (Å): 2.8097 3.7341 7.3290
angles (deg): 84.70 89.46 87.63
Closest atoms and distances in Å follow each position.
Atoms (fractional coordinates):
Mn1 0.0000 0.0000 0.0000  2 Se 2.32-2.36, 3 Tc 2.41-2.58
Co1 0.4677 0.3970 0.4628  1 Se 2.32, 1 Tc 2.41, 4 Ge 2.41-2.51
Tc1 0.4285 0.4700 0.1334  3 Mn 2.41-2.58, 1 Co 2.41
Ge1 0.9681 0.9178 0.3571  4 Co 2.41-2.51, 1 Mn 2.61
Se1 0.4779 0.2960 0.7799  2 Mn 2.32-2.36, 1 Co 2.32

Properties
The value obtained for the uncorrected formation energy is 0.057 eV per atom. As for the crystal system: triclinic. Its excess energy over the best structure of this formula in the dataset is 0.15 eV/f.u.

Entry 7:
Compound: MnCoTcGeSe
Source: Alexandria
Functional: PBE
Structure: relaxed

a b c (Å): 4.5198 4.5198 6.3731
angles (deg): 121.65 121.65 42.13
Closest atoms and distances in Å follow each position.
Atoms (fractional coordinates):
Mn1 0.0000 0.0000 0.0000  3 Co 2.49-2.53, 2 Se 2.52, 3 Ge 2.62-2.64, 2 Tc 2.71
Co1 0.2387 0.2387 0.8798  2 Ge 2.41, 3 Mn 2.49-2.53, 1 Se 2.49
Tc1 0.5964 0.5964 0.3945  3 Se 2.63-2.91, 3 Ge 2.63-2.65, 2 Mn 2.71
Ge1 0.7969 0.7969 0.1941  2 Co 2.41, 3 Mn 2.62-2.64, 3 Tc 2.63-2.65
Se1 0.3916 0.3916 0.6407  1 Co 2.49, 2 Mn 2.52, 2 Tc 2.63

Properties
The value obtained for the uncorrected formation energy is 0.073 eV per atom. As for the crystal system: monoclinic. Its excess energy over the best structure of this formula in the dataset is 0.23 eV/f.u.

Entry 8:
Compound: MnCoTcGeSe
Source: Alexandria
Functional: PBE
Structure: relaxed

a b c (Å): 7.3846 7.3846 3.7131
angles (deg): 90.05 90.05 22.41
Closest atoms and distances in Å follow each position.
Atoms (fractional coordinates):
Mn1 0.0000 0.0000 0.0000  4 Tc 2.64, 4 Se 2.70-2.71, 2 Mn 2.87
Co1 0.2424 0.2424 0.5006  1 Se 2.39, 4 Ge 2.41
Tc1 0.5839 0.5839 0.5001  1 Se 2.56, 2 Ge 2.56, 4 Mn 2.64, 2 Co 2.71
Ge1 0.7059 0.7059 0.0005  4 Co 2.41, 2 Tc 2.56
Se1 0.4074 0.4074 0.5019  1 Co 2.39, 1 Tc 2.56

Properties
The value obtained for the uncorrected formation energy is 0.027 eV per atom. As for the crystal system: monoclinic. Its excess energy over the best structure of this formula in the dataset is 0.00 eV/f.u.

Entry 9:
Compound: MnCoTcGeSe
Source: Alexandria
Functional: PBE
Structure: relaxed

a b c (Å): 4.6459 4.6459 5.4482
angles (deg): 103.92 103.92 41.68
Closest atoms and distances in Å follow each position.
Atoms (fractional coordinates):
Mn1 0.0000 0.0000 0.0000  2 Tc 2.53, 3 Se 2.59-2.62, 3 Co 2.60-2.62, 2 Ge 2.75-2.83
Co1 0.3096 0.3096 0.1517  2 Se 2.36, 2 Ge 2.45, 3 Mn 2.60-2.62
Tc1 0.6249 0.6249 0.3449  2 Mn 2.53, 3 Ge 2.55-2.60, 3 Co 2.67-2.70, 1 Se 2.69
Ge1 0.9292 0.9292 0.4782  2 Co 2.45, 3 Tc 2.55-2.60
Se1 0.6883 0.6883 0.8544  2 Co 2.36, 3 Mn 2.59-2.62

Properties
The value obtained for the uncorrected formation energy is 0.034 eV per atom. As for the crystal system: monoclinic. Its excess energy over the best structure of this formula in the dataset is 0.04 eV/f.u.

Entry 10:
Compound: MnCoTcGeSe
Source: Alexandria
Functional: PBE
Structure: relaxed

a b c (Å): 4.5210 4.5210 7.4820
angles (deg): 118.63 118.63 39.26
Closest atoms and distances in Å follow each position.
Atoms (fractional coordinates):
Mn1 0.0000 0.0000 0.0000  2 Tc 2.47, 3 Co 2.51-2.56, 3 Se 2.56-2.57
Co1 0.7782 0.7782 0.1273  2 Se 2.36, 3 Mn 2.51-2.56, 2 Ge 2.56, 3 Tc 2.60-2.64
Tc1 0.5661 0.5661 0.2900  2 Mn 2.47, 3 Ge 2.56-2.59, 3 Co 2.60-2.64
Ge1 0.3516 0.3516 0.4357  3 Tc 2.56-2.59, 2 Co 2.56
Se1 0.2181 0.2181 0.8584  2 Co 2.36, 3 Mn 2.56-2.57

Properties
The value obtained for the uncorrected formation energy is 0.060 eV per atom. As for the crystal system: monoclinic. Its excess energy over the best structure of this formula in the dataset is 0.17 eV/f.u.

Entry 11:
Compound: MnCoTcGeSe
Source: Alexandria
Functional: PBE
Structure: relaxed

a b c (Å): 4.1005 4.1005 5.3431
angles (deg): 96.13 96.13 57.51
Closest atoms and distances in Å follow each position.
Atoms (fractional coordinates):
Mn1 0.0000 0.0000 0.0000  3 Ge 2.36-2.45, 1 Se 2.36, 3 Tc 2.40-2.50
Co1 0.4136 0.4136 0.5891  1 Ge 2.29, 2 Se 2.40, 1 Tc 2.45
Tc1 0.3469 0.3469 0.1280  3 Mn 2.40-2.50, 1 Co 2.45, 2 Ge 2.60
Ge1 0.6730 0.6730 0.8837  1 Co 2.29, 3 Mn 2.36-2.45
Se1 0.0595 0.0595 0.4447  1 Mn 2.36, 3 Co 2.40-2.57

Properties
The value obtained for the uncorrected formation energy is 0.042 eV per atom. As for the crystal system: monoclinic. Its excess energy over the best structure of this formula in the dataset is 0.07 eV/f.u.

Entry 12:
Compound: MnCoTcGeSe
Source: Alexandria
Functional: PBE
Structure: relaxed

a b c (Å): 4.5952 4.5952 5.8952
angles (deg): 102.50 102.50 40.45
Closest atoms and distances in Å follow each position.
Atoms (fractional coordinates):
Mn1 0.0000 0.0000 0.0000  1 Se 2.40, 3 Co 2.53-2.55, 2 Ge 2.58, 2 Tc 2.61
Co1 0.6967 0.6967 0.8822  2 Se 2.43, 2 Ge 2.44, 3 Mn 2.53-2.55
Tc1 0.6345 0.6345 0.3405  2 Se 2.51, 2 Mn 2.61, 3 Ge 2.61
Ge1 0.3254 0.3254 0.1806  2 Co 2.44, 2 Mn 2.58, 3 Tc 2.61
Se1 0.0400 0.0400 0.6105  1 Mn 2.40, 2 Co 2.43, 2 Tc 2.51

Properties
The value obtained for the uncorrected formation energy is 0.059 eV per atom. As for the crystal system: monoclinic. Its excess energy over the best structure of this formula in the dataset is 0.16 eV/f.u.

no.,theoretical density (g cm⁻³)
1,9.346
2,4.237
3,6.029
4,8.015
5,7.951
6,7.890
7,8.357
8,7.820
9,7.987
10,7.244
11,8.025
12,7.680